TmSi2PtRh GGA-PBE relaxed; total moment = 0.0 μB/cell; density of states at the Fermi level = 0.48 states/eV/atom; formation energy from raw total energies = -103 kJ per mole of atoms; V = 82 Å³/f.u.; symmetry = I-4m2, No. 119
1.0
-1.274 1.105 -3.667
-1.173 -3.792 -0.735
-3.336 2.386 4.099
Tm Si Pt Rh
1 2 1 1
Direct
0.000 0.000 0.000 Tm
0.614 0.614 0.229 Si
0.386 0.386 0.771 Si
0.250 0.750 0.500 Pt
0.750 0.250 0.500 Rh

TmSi2PtRh2 GGA-PBE relaxed; total moment = 0.0 μB/cell; density of states at the Fermi level = 0.51 states/eV/atom; formation energy from raw total energies = -35 kJ per mole of atoms; V = 111 Å³/f.u.; symmetry = P4/mmm, No. 123
1.0
-3.234 -0.872 -3.007
-1.677 -3.169 2.723
-3.226 3.753 2.381
Tm Si Pt Rh
1 2 1 2
Direct
0.000 0.000 0.500 Tm
0.500 0.000 0.000 Si
0.000 0.500 0.000 Si
0.000 0.000 0.000 Pt
0.500 0.500 0.747 Rh
0.500 0.500 0.253 Rh

Tm2Si2PtRh5 GGA-PBE relaxed; total moment = 0.0 μB/cell; density of states at the Fermi level = 0.86 states/eV/atom; formation energy from raw total energies = -85 kJ per mole of atoms; V = 162 Å³/f.u.; symmetry = P4/mbm, No. 127
1.0
3.524 0.000 0.000
0.000 9.585 0.000
0.000 0.000 9.585
Tm Si Pt Rh
4 4 2 10
Direct
0.000 0.675 0.175 Tm
0.000 0.325 0.825 Tm
0.000 0.175 0.325 Tm
0.000 0.825 0.675 Tm
0.000 0.124 0.624 Si
0.000 0.876 0.376 Si
0.000 0.624 0.876 Si
0.000 0.376 0.124 Si
0.000 0.000 0.000 Pt
0.000 0.500 0.500 Pt
0.500 0.214 0.069 Rh
0.500 0.786 0.931 Rh
0.500 0.069 0.786 Rh
0.500 0.714 0.431 Rh
0.500 0.931 0.214 Rh
0.500 0.286 0.569 Rh
0.500 0.569 0.714 Rh
0.500 0.431 0.286 Rh
0.500 0.500 0.000 Rh
0.500 0.000 0.500 Rh

Tm2Si4PtRh3 GGA-PBE relaxed; total moment = 0.0 μB/cell; density of states at the Fermi level = 0.45 states/eV/atom; formation energy from raw total energies = -101 kJ per mole of atoms; V = 165 Å³/f.u.; symmetry = P-4m2, No. 115
1.0
4.058 0.000 0.000
0.000 4.058 0.000
0.000 0.000 10.036
Tm Si Pt Rh
2 4 1 3
Direct
0.500 0.000 0.241 Tm
0.000 0.500 0.759 Tm
0.500 0.500 0.000 Si
0.000 0.000 0.000 Si
0.500 0.000 0.638 Si
0.000 0.500 0.362 Si
0.500 0.500 0.500 Pt
0.000 0.000 0.500 Rh
0.500 0.000 0.871 Rh
0.000 0.500 0.129 Rh

Tm2Si3Pt4Rh GGA-PBE relaxed; total moment = 0.0 μB/cell; density of states at the Fermi level = 0.59 states/eV/atom; formation energy from raw total energies = -91 kJ per mole of atoms; V = 173 Å³/f.u.; symmetry = P-4m2, No. 115
1.0
3.936 0.000 0.000
0.000 3.936 0.000
0.000 0.000 11.189
Tm Si Pt Rh
2 3 4 1
Direct
0.500 0.000 0.254 Tm
0.000 0.500 0.746 Tm
0.000 0.000 0.500 Si
0.500 0.000 0.868 Si
0.000 0.500 0.132 Si
0.500 0.500 0.000 Pt
0.000 0.000 0.000 Pt
0.500 0.000 0.662 Pt
0.000 0.500 0.338 Pt
0.500 0.500 0.500 Rh

USi2PtRh2 GGA-PBE relaxed; total moment = 2.4 μB/cell; density of states at the Fermi level = 1.52 states/eV/atom; formation energy from raw total energies = -8 kJ per mole of atoms; V = 113 Å³/f.u.; symmetry = P4/mmm, No. 123
1.0
-3.136 0.216 -3.251
3.124 -1.083 -3.085
-1.129 -5.345 0.733
U Si Pt Rh
1 2 1 2
Direct
0.000 0.000 0.500 U
0.500 0.000 0.000 Si
0.000 0.500 0.000 Si
0.000 0.000 0.000 Pt
0.500 0.500 0.747 Rh
0.500 0.500 0.253 Rh